Entry 1:
This record from Alexandria describes a relaxed UAgAs2 crystal. The functional is PBE-GGA.

Geometry as extended XYZ:
```
4
Lattice="1.519 0.877 10.002 -1.519 0.877 10.002 0.000 -1.754 10.002" Properties=species:S:1:pos:R:3 pbc="T T T"
U 0.000 0.000 0.000
Ag 0.000 0.000 15.003
As 0.000 0.000 12.412
As 0.000 0.000 17.594
```

## Properties
space group = R-3m
crystal system = trigonal

Entry 2:
This record from Alexandria describes a relaxed UAgAs crystal. The functional is PBE-GGA.

Geometry as extended XYZ:
```
6
Lattice="5.103 -2.056 0.000 5.103 2.056 0.000 -3.203 0.000 6.039" Properties=species:S:1:pos:R:3 pbc="T T T"
U -0.725 0.000 2.182
U 7.727 0.000 3.857
Ag 0.599 0.000 5.670
Ag 6.403 0.000 0.369
As 2.202 0.000 1.845
As 4.800 0.000 4.194
```

## Properties
space group = C2/m
crystal system = monoclinic

Entry 3:
This record from Alexandria describes a relaxed UAgAs2 crystal. The functional is PBE-GGA.

Geometry as extended XYZ:
```
4
Lattice="4.603 0.000 0.000 0.000 4.603 0.000 0.000 0.000 3.693" Properties=species:S:1:pos:R:3 pbc="T T T"
U 0.000 0.000 0.000
Ag 2.301 2.301 0.000
As 0.000 2.301 1.846
As 2.301 0.000 1.846
```

## Properties
space group = P4/mmm
crystal system = tetragonal

Number 1: volume 80 Å³ per cell, DFT formation energy -8 meV per atom. Number 2: volume 127 Å³ per cell, DFT formation energy -271 meV per atom. Number 3: volume 78 Å³ per cell, DFT formation energy -401 meV per atom.